DFT (PBE) results for a geometry-optimized Br3Cl structure.

Properties
energy relative to the elements, uncorrected = 182 meV/atom
magnetization = 0.00 μB per atom
DOS(E_F) = 4.2 states/eV/f.u.
symmetry = P2/m

Lattice parameters (Å, degrees): 2.562 8.483 6.787 90.00 90.26 90.00
Positions (direct):
Br (0.000, 0.000, 0.000)
Br (0.499, 0.500, 0.251)
Br (0.501, 0.500, 0.749)
Cl (0.000, 0.000, 0.500)